Entry from Alexandria: an optimized crystal structure of MgH2O2 (GGA-PBEsol).

Structure (POSCAR):
```
MgH2O2
1.0
-2.136 -0.292 2.293
2.995 -0.812 0.526
0.906 4.238 1.383
H Mg O
2 1 2
Direct
0.333 0.667 0.444
0.667 0.333 0.556
0.000 0.000 0.000
0.333 0.667 0.229
0.667 0.333 0.771
```

Calculated values
Space-group type ... P-3m1, No. 164
DFT total energy ... -27.580 eV/cell
N(E_F) ... 0.000 states/eV per atom
M_tot ... 0.0 μB per formula unit